# Zn2PW

An optimized crystal structure of Zn2PW (GGA-PBEsol, the Alexandria database).

The structure in CIF format:
```
data_Zn2PW
_chemical_formula_sum 'Zn2 P1 W1'
_cell_length_a 2.970
_cell_length_b 2.970
_cell_length_c 8.037
_cell_angle_alpha 79.35
_cell_angle_beta 79.35
_cell_angle_gamma 60.00
_space_group_name_H-M_alt 'P 1'
_space_group_IT_number 1
loop_
_space_group_symop_operation_xyz
'x,y,z'
loop_
_atom_site_label
_atom_site_type_symbol
_atom_site_fract_x
_atom_site_fract_y
_atom_site_fract_z
Zn1 Zn 0.752 0.752 0.745
Zn2 Zn 0.001 0.001 0.998
W1 W 0.242 0.242 0.273
P1 P 0.505 0.505 0.485
```

Its total energy is -22.48 eV/cell. For the volume, the calculation gives 60.0 Å³/cell. As for the space-group type: R3m.